[1]
Below is an optimized crystal structure of KTiAs2O8, with properties calculated at the GGA-PBE level.

The calculated volume is 583 Å³/cell. For the density of states at the Fermi level, the calculation gives 18.31 states/eV/cell. The value obtained for the formation energy from raw total energies is -1581 meV/atom.

It has space group R32 (No. 155, hexagonal axes), with a = 4.9678 Å, b = 4.9678 Å, c = 27.2589 Å, α = 90.00°, β = 90.00° and γ = 120.00°. Symmetry generates all atoms from K at (0.0000, 0.0000, 0.0000), Ti at (0.0000, 0.0000, 0.5000), As at (0.0000, 0.0000, 0.2352), O at (0.0000, 0.0000, 0.2967) and O at (0.0120, 0.3759, 0.1208).

[2]
Below is an optimized crystal structure of ErAl2Ni, with properties calculated at the GGA-PBE level.

The calculated volume is 280 Å³/cell. For the density of states at the Fermi level, the calculation gives 6.89 states/eV/cell. The calculation puts the formation energy at -652 meV/atom.

It has space group Cmcm (No. 63), with a = 4.0592 Å, b = 10.0463 Å, c = 6.8747 Å, α = 90.00°, β = 90.00° and γ = 90.00°. Symmetry generates all atoms from Er at (0.0000, 0.0619, 0.2500), Al at (0.0000, 0.3446, 0.0542) and Ni at (0.0000, 0.2152, 0.7500).

[3]
Below is an optimized crystal structure of Al2TlW, with properties calculated at the GGA-PBE level.

The calculated volume is 224 Å³/cell. For the density of states at the Fermi level, the calculation gives 7.57 states/eV/cell. The calculation puts the formation energy at 305 meV/atom. For the offset from the most stable computed form, the calculation gives 0.079 eV per formula unit.

It has space group R-3m (No. 166, hexagonal axes), with a = 3.0452 Å, b = 3.0452 Å, c = 27.9337 Å, α = 90.00°, β = 90.00° and γ = 120.00°. Symmetry generates all atoms from Al at (0.0000, 0.0000, 0.2407), Tl at (0.0000, 0.0000, 0.0000) and W at (0.0000, 0.0000, 0.5000).

[4]
Below is an optimized crystal structure of PdNF2, with properties calculated at the GGA-PBE level.

The calculated volume is 143 Å³/cell. The value obtained for the formation energy from raw total energies is 548 meV/atom. For the offset from the most stable computed form, the calculation gives 0.000 eV per formula unit.

It has space group C2/m (No. 12), with a = 5.9572 Å, b = 3.4761 Å, c = 7.1003 Å, α = 90.00°, β = 103.54° and γ = 90.00°. Symmetry generates all atoms from Pd at (0.0000, 0.0000, 0.0000), N at (0.0000, 0.0000, 0.5000) and F at (0.1259, 0.5000, 0.8573).

[5]
Below is an optimized crystal structure of Ce2CuRe, with properties calculated at the GGA-PBE level.

The calculated volume is 86 Å³/cell. For the density of states at the Fermi level, the calculation gives 6.92 states/eV/cell. The calculation puts the formation energy at 43 meV/atom.

It has space group P4/mmm (No. 123), with a = 3.3839 Å, b = 3.3839 Å, c = 7.4845 Å, α = 90.00°, β = 90.00° and γ = 90.00°. Symmetry generates all atoms from Ce at (0.0000, 0.0000, 0.2369), Cu at (0.5000, 0.5000, 0.5000) and Re at (0.5000, 0.5000, 0.0000).

[6]
Below is an optimized crystal structure of Y2CuS3, with properties calculated at the GGA-PBE level.

The calculated volume is 241 Å³/cell. For the density of states at the Fermi level, the calculation gives 3.00 states/eV/cell. The value obtained for the formation energy from raw total energies is -1523 meV/atom.

It has space group Immm (No. 71), with a = 3.6711 Å, b = 4.2472 Å, c = 15.4368 Å, α = 90.00°, β = 90.00° and γ = 90.00°. Symmetry generates all atoms from Y at (0.0000, 0.0000, 0.1403), Cu at (0.0000, 0.0000, 0.5000), S at (0.0000, 0.0000, 0.3222) and S at (0.0000, 0.5000, 0.5000).

[7]
Below is an optimized crystal structure of Nd6ErCd2, with properties calculated at the GGA-PBE level.

The calculated volume is 1143 Å³/cell. For the density of states at the Fermi level, the calculation gives 43.27 states/eV/cell. The calculation puts the formation energy at -67 meV/atom. For the offset from the most stable computed form, the calculation gives 0.568 eV per formula unit.

It has space group C2/c (No. 15), with a = 15.7055 Å, b = 11.7156 Å, c = 6.2423 Å, α = 90.00°, β = 95.74° and γ = 90.00°. Symmetry generates all atoms from Nd at (0.0566, 0.1279, 0.0091), Nd at (0.1170, 0.3498, 0.3140), Nd at (0.2230, 0.3720, 0.8369), Er at (0.0000, 0.3984, 0.7500) and Cd at (0.1645, 0.1219, 0.5911).

[8]
Below is an optimized crystal structure of Rb2CuHgP, with properties calculated at the GGA-PBE level.

The calculated volume is 182 Å³/cell. For the density of states at the Fermi level, the calculation gives 2.15 states/eV/cell. The calculation puts the formation energy at -153 meV/atom. For the offset from the most stable computed form, the calculation gives 0.000 eV per formula unit.

It has space group P4/mmm (No. 123), with a = 6.5345 Å, b = 6.5345 Å, c = 4.2689 Å, α = 90.00°, β = 90.00° and γ = 90.00°. Symmetry generates all atoms from Rb at (0.0000, 0.5000, 0.0000), Cu at (0.0000, 0.0000, 0.0000), Hg at (0.5000, 0.5000, 0.5000) and P at (0.0000, 0.0000, 0.5000).